The following is a PBE calculation of a geometry-optimized LaPrRu structure, from Alexandria.

Computed properties:
- ΔE to the lowest computed polymorph (meV per atom) = 0
- SG = P2_1/m (11)
- formation energy from the elements (meV/atom) = -200

a = 4.5429 Å, b = 5.4243 Å, c = 7.2578 Å
α = 90.15°, β = 90.00°, γ = 90.00°
With the nearest neighbours (Å) after each atom.
Atoms (fractional coordinates):
Ru1 0.7500 0.7494 0.7553  2 La 2.65
Ru2 0.2500 0.2506 0.2447  2 La 2.65
La1 0.2500 0.7499 0.5665  2 Ru 2.65
La2 0.7500 0.2501 0.4335  2 Ru 2.65
Pr1 0.7500 0.2499 0.9421  4 Ru 3.03-3.16
Pr2 0.2500 0.7501 0.0579  4 Ru 3.03-3.16